The following is a PBE calculation of crystalline TlCoCl at its relaxed geometry, from Alexandria via LeMat-Bulk.

Calculated values
**Electronic total energy**: -3.70 eV per atom
**E_form (uncorrected)**: 0.075 eV/atom
**ρ**: 7.38 Mg/m³
**Energy above the most stable polymorph in this dataset**: 0 meV per atom
**Total magnetic moment**: 0.653 μB per atom

Cell: 3.4118 3.4118 6.6677 Å, 90.00 90.00 120.00°
Closest atoms and distances in Å follow each position.
Sites, in units of the cell vectors:
Tl 0.0000 0.0000 0.0000  3 Co 2.90
Co 0.3333 0.6667 0.6805  3 Cl 2.30
Cl 0.6667 0.3333 0.5014  3 Co 2.30